# 1
YTl2RhO6 | the Alexandria database | PBE | relaxed; formation energy from raw total energies = -1360 meV/atom; magnetization = 0.0 μB/f.u.
1.0
2.856 1.649 4.897
-2.856 1.649 4.897
0.000 -3.297 4.897
Y Tl Rh O
1 2 1 6
Direct
0.000 0.000 0.000
0.263 0.263 0.263
0.778 0.778 0.778
0.491 0.491 0.491
0.143 0.703 0.377
0.240 0.618 0.839
0.377 0.143 0.703
0.618 0.839 0.240
0.703 0.377 0.143
0.839 0.240 0.618

***

# 2
Tl3Zn2RhO6 | the Alexandria database | PBE | relaxed; formation energy from raw total energies = -721 meV/atom; magnetization = 0.0 μB/f.u.
1.0
5.964 0.000 0.000
-2.982 5.165 0.000
0.000 0.000 6.259
Tl Zn Rh O
3 2 1 6
Direct
0.000 0.000 0.000
0.333 0.667 0.771
0.667 0.333 0.229
0.333 0.667 0.301
0.667 0.333 0.699
0.000 0.000 0.500
0.150 0.300 0.281
0.150 0.850 0.281
0.300 0.150 0.719
0.700 0.850 0.281
0.850 0.150 0.719
0.850 0.700 0.719

***

# 3
TmRhO3 | the Alexandria database | PBE | relaxed; formation energy from raw total energies = -2107 meV/atom; magnetization = 0.0 μB/f.u.
1.0
4.980 -2.783 0.000
4.980 2.783 0.000
-3.250 0.000 8.519
Tm Rh O
4 4 12
Direct
0.023 0.682 0.864
0.318 0.977 0.636
0.682 0.023 0.364
0.977 0.318 0.136
0.000 0.500 0.500
0.277 0.723 0.250
0.500 0.000 0.000
0.723 0.277 0.750
0.122 0.239 0.866
0.159 0.715 0.445
0.239 0.122 0.366
0.285 0.841 0.055
0.307 0.397 0.691
0.397 0.307 0.191
0.603 0.693 0.809
0.693 0.603 0.309
0.715 0.159 0.945
0.761 0.878 0.634
0.841 0.285 0.555
0.878 0.761 0.134

***

# 4
TmRh4O8 | the Alexandria database | PBE | relaxed; formation energy from raw total energies = -1188 meV/atom; magnetization = 0.7 μB/f.u.
1.0
3.118 1.800 4.965
-3.118 1.800 4.965
0.000 -3.600 4.965
Tm Rh O
1 4 8
Direct
0.000 0.000 0.000
0.000 0.000 0.500
0.000 0.500 0.000
0.500 0.000 0.000
0.500 0.500 0.500
0.228 0.228 0.228
0.234 0.738 0.738
0.262 0.262 0.766
0.262 0.766 0.262
0.738 0.234 0.738
0.738 0.738 0.234
0.766 0.262 0.262
0.772 0.772 0.772

***

# 5
TmRhO3 | the Alexandria database | PBE | relaxed; formation energy from raw total energies = -2190 meV/atom; magnetization = 0.0 μB/f.u.
1.0
5.759 0.000 0.000
0.000 7.601 0.000
0.000 0.000 5.229
Tm Rh O
4 4 12
Direct
0.086 0.250 0.033
0.414 0.750 0.533
0.586 0.250 0.467
0.914 0.750 0.967
0.000 0.000 0.500
0.000 0.500 0.500
0.500 0.000 0.000
0.500 0.500 0.000
0.058 0.750 0.357
0.189 0.567 0.825
0.189 0.933 0.825
0.311 0.067 0.325
0.311 0.433 0.325
0.442 0.250 0.857
0.558 0.750 0.143
0.689 0.567 0.675
0.689 0.933 0.675
0.811 0.067 0.175
0.811 0.433 0.175
0.942 0.250 0.643

***

# 6
Tm2RhO | the Alexandria database | PBE | relaxed; formation energy from raw total energies = -1729 meV/atom; magnetization = 0.0 μB/f.u.; energy above the most stable polymorph in this dataset = 0.0 meV per atom
1.0
3.420 0.000 0.000
-1.710 2.962 0.000
0.000 0.000 20.552
Tm Rh O
6 3 3
Direct
0.000 0.000 0.238
0.000 0.000 0.762
0.333 0.667 0.429
0.333 0.667 0.905
0.667 0.333 0.095
0.667 0.333 0.571
0.000 0.000 0.000
0.333 0.667 0.667
0.667 0.333 0.333
0.000 0.000 0.500
0.333 0.667 0.167
0.667 0.333 0.833